{"formula": "MgAg2Ir", "functional": "GGA-PBE", "state": "optimized geometry", "delta_e_f_kj_per_mol_atoms": 2.7, "lattice": [[4.0327, 0.0000, 0.0000], [0.0000, 2.8670, 0.0112], [0.0000, 2.8175, 5.8251]], "species": ["Ag", "Ag", "Ir", "Mg"], "frac_coords": [[0.0000, 0.9957, 0.0034], [0.5000, 0.2459, 0.2538], [0.0000, 0.4860, 0.5146], [0.5000, 0.7724, 0.7282]]}

***

{"formula": "MgSnOs3", "functional": "GGA-PBE", "state": "optimized geometry", "e_above_lowest_polymorph_mev_per_atom": 0.0, "delta_e_f_kj_per_mol_atoms": 198.4, "lattice": [[-3.2105, -2.2640, 2.2115], [2.9979, -1.1660, 3.1586], [-1.0142, 3.7201, 2.3359]], "species": ["Os", "Os", "Os", "Mg", "Sn"], "frac_coords": [[0.5000, 0.0000, 0.0000], [0.0000, 0.5000, 0.0000], [0.0000, 0.0000, 0.5000], [0.0000, 0.0000, 0.0000], [0.5000, 0.5000, 0.5000]]}

***

{"formula": "AlOsSCl2", "functional": "GGA-PBE", "state": "optimized geometry", "e_above_lowest_polymorph_mev_per_atom": 0.0, "e_form_raw_kj_per_mol_fu": 94, "lattice": [[-0.8833, -4.5058, -2.2007], [3.3050, -2.2037, 3.1853], [-3.2529, -0.7555, 2.8525]], "species": ["Cl", "Cl", "S", "Os", "Al"], "frac_coords": [[0.5000, 0.0000, 0.0000], [0.0000, 0.5000, 0.0000], [0.0000, 0.0000, 0.5000], [0.0000, 0.0000, 0.0000], [0.5000, 0.5000, 0.5000]]}

***

{"formula": "Ti3CuSb", "functional": "GGA-PBE", "state": "optimized geometry", "e_above_lowest_polymorph_mev_per_atom": 1059.0, "e_form_raw_kj_per_mol_fu": 516, "lattice": [[-2.9350, -2.9343, -2.7578], [1.3146, -3.9238, 2.7759], [-3.8062, 0.9075, 3.0853]], "species": ["Sb", "Cu", "Ti", "Ti", "Ti"], "frac_coords": [[0.0000, 0.0000, 0.0000], [0.5000, 0.5000, 0.5000], [0.0000, 0.0000, 0.5000], [0.0000, 0.5000, 0.0000], [0.5000, 0.0000, 0.0000]]}

***

no.,theoretical density (g/cm³)
1,10.7
2,12.9
3,4.7
4,4.4